(1)
# KV2GePt, relaxed, DFT PBE-GGA
data_KV2GePt
_cell_length_a 4.7484
_cell_length_b 5.5507
_cell_length_c 4.7484
_cell_angle_alpha 90.00
_cell_angle_beta 90.00
_cell_angle_gamma 90.00
_space_group_name_H-M_alt 'P 1'
_space_group_IT_number 1
loop_
_space_group_symop_operation_xyz
'x,y,z'
loop_
_atom_site_label
_atom_site_type_symbol
_atom_site_fract_x
_atom_site_fract_y
_atom_site_fract_z
Ge1 Ge 0.0000 0.0000 0.0000
K1 K 0.0000 0.5000 0.0000
Pt1 Pt 0.5000 0.5000 0.5000
V1 V 0.0000 0.0000 0.5000
V2 V 0.5000 0.0000 0.0000
# energy relative to the elements = 5.60 eV per formula unit



(2)
# Li3Cd5Br12, relaxed, DFT PBE-GGA
data_Li3Cd5Br12
_cell_length_a 14.9105
_cell_length_b 14.9105
_cell_length_c 14.9105
_cell_angle_alpha 109.47
_cell_angle_beta 109.47
_cell_angle_gamma 109.47
_space_group_name_H-M_alt 'P 1'
_space_group_IT_number 1
loop_
_space_group_symop_operation_xyz
'x,y,z'
loop_
_atom_site_label
_atom_site_type_symbol
_atom_site_fract_x
_atom_site_fract_y
_atom_site_fract_z
Li1 Li 0.7500 0.3750 0.1250
Li2 Li 0.8750 0.7500 0.1250
Li3 Li 0.3750 0.7500 0.6250
Li4 Li 0.2500 0.1250 0.3750
Li5 Li 0.8750 0.1250 0.2500
Li6 Li 0.3750 0.6250 0.2500
Li7 Li 0.6250 0.3750 0.7500
Li8 Li 0.1250 0.8750 0.7500
Li9 Li 0.7500 0.8750 0.6250
Li10 Li 0.6250 0.2500 0.3750
Li11 Li 0.1250 0.2500 0.8750
Li12 Li 0.2500 0.6250 0.8750
Cd1 Cd 0.1250 0.3750 0.2500
Cd2 Cd 0.0000 0.5000 0.0000
Cd3 Cd 0.0000 0.0000 0.0000
Cd4 Cd 0.3750 0.2500 0.1250
Cd5 Cd 0.5000 0.0000 0.5000
Cd6 Cd 0.5000 0.5000 0.0000
Cd7 Cd 0.1250 0.7500 0.3750
Cd8 Cd 0.7500 0.1250 0.8750
Cd9 Cd 0.7500 0.6250 0.3750
Cd10 Cd 0.3750 0.1250 0.7500
Cd11 Cd 0.6250 0.8750 0.2500
Cd12 Cd 0.5000 0.5000 0.5000
Cd13 Cd 0.5000 0.0000 0.0000
Cd14 Cd 0.0000 0.0000 0.5000
Cd15 Cd 0.2500 0.3750 0.6250
Cd16 Cd 0.2500 0.8750 0.1250
Cd17 Cd 0.0000 0.5000 0.5000
Cd18 Cd 0.8750 0.2500 0.6250
Cd19 Cd 0.6250 0.7500 0.8750
Cd20 Cd 0.8750 0.6250 0.7500
Br1 Br 0.7160 0.1286 0.0397
Br2 Br 0.3237 0.5397 0.4111
Br3 Br 0.9603 0.3714 0.2840
Br4 Br 0.5397 0.2160 0.1286
Br5 Br 0.5874 0.7160 0.6763
Br6 Br 0.9603 0.5889 0.1763
Br7 Br 0.3237 0.7840 0.4126
Br8 Br 0.0889 0.9126 0.1286
Br9 Br 0.5889 0.9603 0.6763
Br10 Br 0.7160 0.5874 0.1763
Br11 Br 0.7840 0.4603 0.3714
Br12 Br 0.8237 0.9111 0.0397
Br13 Br 0.1286 0.7160 0.5397
Br14 Br 0.3714 0.4111 0.0874
Br15 Br 0.0874 0.9111 0.3714
Br16 Br 0.4126 0.1286 0.5889
Br17 Br 0.0874 0.1763 0.2160
Br18 Br 0.4603 0.6763 0.0889
Br19 Br 0.8237 0.9126 0.2840
Br20 Br 0.1286 0.4126 0.0889
Br21 Br 0.3714 0.9603 0.7840
Br22 Br 0.5889 0.6286 0.4126
Br23 Br 0.9111 0.8237 0.5397
Br24 Br 0.7840 0.3237 0.9126
Br25 Br 0.4111 0.3714 0.5874
Br26 Br 0.0889 0.1763 0.4603
Br27 Br 0.2160 0.6763 0.0874
Br28 Br 0.1763 0.0874 0.7160
Br29 Br 0.6286 0.0397 0.2160
Br30 Br 0.8714 0.5874 0.9111
Br31 Br 0.5397 0.3237 0.9111
Br32 Br 0.5874 0.8714 0.4111
Br33 Br 0.9126 0.8237 0.7840
Br34 Br 0.9126 0.0889 0.6286
Br35 Br 0.8714 0.2840 0.4603
Br36 Br 0.1763 0.0889 0.9603
Br37 Br 0.6286 0.5889 0.9126
Br38 Br 0.4111 0.0397 0.3237
Br39 Br 0.2840 0.4126 0.8237
Br40 Br 0.2160 0.5397 0.6286
Br41 Br 0.9111 0.0874 0.8714
Br42 Br 0.6763 0.2160 0.5874
Br43 Br 0.4603 0.7840 0.8714
Br44 Br 0.0397 0.4111 0.8237
Br45 Br 0.4126 0.2840 0.3237
Br46 Br 0.0397 0.6286 0.7160
Br47 Br 0.6763 0.4603 0.5889
Br48 Br 0.2840 0.8714 0.9603
# energy relative to the elements, uncorrected = -85.9 kJ/mol of atoms



| no. | spin magnetization (μB per formula unit) |
| --- | --- |
| 1 | 5.00 |
| 2 | 0.00 |